VASP calculation (PBE) on a relaxed Ac2MgReO8 crystal.

* ρ: 7.570 g cm⁻³
* electronic total energy: -7.493 eV/atom
* formation energy (no corrections): -2332.6 meV per atom
* Fermi-level density of states: 7.4 states/eV/cell

The structure in CIF format:
```
data_Ac2MgReO8
_cell_length_a 4.385
_cell_length_b 5.596
_cell_length_c 7.153
_cell_angle_alpha 85.35
_cell_angle_beta 87.43
_cell_angle_gamma 83.86
_symmetry_space_group_name_H-M 'P -1'
_symmetry_Int_Tables_number 2
loop_
_symmetry_equiv_pos_as_xyz
'x,y,z'
'-x,-y,-z'
loop_
_atom_site_label
_atom_site_fract_x
_atom_site_fract_y
_atom_site_fract_z
Ac1 0.197 0.015 0.242
Mg1 0.500 0.500 0.000
Re1 0.500 0.500 0.500
O1 0.212 0.764 0.554
O2 0.281 0.271 0.640
O3 0.288 0.827 0.946
O4 0.302 0.463 0.268
```